Density functional theory data (GGA-PBE) for TmHfRh2 after structural relaxation.

Its formation energy is -364 kJ/mol of formula units. For the total DFT energy (no corrections), the calculation gives -32.90 eV/f.u.

It has space group P4/mmm (No. 123), with a = 3.300 Å, b = 3.300 Å, c = 6.782 Å, α = 90.00°, β = 90.00° and γ = 90.00°. The distinct sites, in fractional coordinates, are Tm at (0.000, 0.000, 0.000), Hf at (0.000, 0.000, 0.500) and Rh at (0.500, 0.500, 0.271).